Here is crystalline In2Ru at its relaxed geometry from the Alexandria database. Energies are from PBE-GGA.

a b c (Å): 4.684 4.684 3.005
angles (deg): 90.00 90.00 120.00
Sites, in units of the cell vectors:
1 Ru 0.000 0.000 0.000
2 In 0.667 0.333 0.500
3 In 0.333 0.667 0.500

Calculated formation energy, meV per atom: 455
E_tot, eV per atom: -4.46